No. 1
This record from the Alexandria database describes a relaxed structure of CsSiPd. The functional is PBE.

Values from the calculation:
ΔE to the lowest computed polymorph	10.8	kJ/mol of atoms
formation energy (no corrections)	-0.122	eV per atom

CIF file:
```
data_CsSiPd
_chemical_formula_sum 'Cs2 Si2 Pd2'
_cell_length_a 4.389
_cell_length_b 4.390
_cell_length_c 12.185
_cell_angle_alpha 90.00
_cell_angle_beta 90.00
_cell_angle_gamma 90.00
_space_group_name_H-M_alt 'P m m n'
_space_group_IT_number 59
loop_
_space_group_symop_operation_xyz
'x,y,z'
'-x,-y,-z'
'-x+1/2,-y+1/2,z'
'x+1/2,y+1/2,-z'
'x+1/2,-y,-z'
'-x+1/2,y,z'
'-x,y+1/2,-z'
'x,-y+1/2,z'
loop_
_atom_site_label
_atom_site_type_symbol
_atom_site_fract_x
_atom_site_fract_y
_atom_site_fract_z
Cs1 Cs 0.250 0.250 0.200
Si1 Si 0.250 0.250 0.504
Pd1 Pd 0.250 0.750 0.585
```


No. 2
This record from the Alexandria database describes a relaxed structure of GaSiTe2N. The functional is PBE.

Values from the calculation:
ΔE to the lowest computed polymorph	65.2	kJ/mol of atoms
formation energy (no corrections)	0.818	eV per atom

CIF file:
```
data_GaSiTe2N
_chemical_formula_sum 'Ga1 Si1 Te2 N1'
_cell_length_a 5.712
_cell_length_b 5.712
_cell_length_c 3.520
_cell_angle_alpha 90.00
_cell_angle_beta 90.00
_cell_angle_gamma 90.00
_space_group_name_H-M_alt 'P 4/m m m'
_space_group_IT_number 123
_space_group_name_Hall '-P 4 2'
loop_
_atom_site_label
_atom_site_type_symbol
_atom_site_fract_x
_atom_site_fract_y
_atom_site_fract_z
Ga1 Ga 0.000 0.000 0.000
Si1 Si 0.500 0.500 0.500
Te1 Te 0.000 0.500 0.000
N1 N 0.000 0.000 0.500
```


No. 3
This record from the Alexandria database describes a relaxed structure of Nb2CoPd. The functional is PBE.

Values from the calculation:
ΔE to the lowest computed polymorph	25.4	kJ/mol of atoms
energy of formation	0.059	eV per atom

CIF file:
```
data_Nb2CoPd
_chemical_formula_sum 'Nb8 Co4 Pd4'
_cell_length_a 6.325
_cell_length_b 6.325
_cell_length_c 6.325
_cell_angle_alpha 90.00
_cell_angle_beta 90.00
_cell_angle_gamma 90.00
_space_group_name_H-M_alt 'F m -3 m'
_space_group_IT_number 225
_space_group_name_Hall '-F 4 2 3'
loop_
_atom_site_label
_atom_site_type_symbol
_atom_site_fract_x
_atom_site_fract_y
_atom_site_fract_z
Nb1 Nb 0.250 0.250 0.250
Co1 Co 0.000 0.000 0.000
Pd1 Pd 0.000 0.000 0.500
```


No. 4
This record from the Alexandria database describes a relaxed structure of SrTeF. The functional is PBE.

Values from the calculation:
ΔE to the lowest computed polymorph	0.0	kJ/mol of atoms
formation energy (no corrections)	-2.284	eV per atom

CIF file:
```
data_SrTeF
_chemical_formula_sum 'Sr1 Te1 F1'
_cell_length_a 4.0907
_cell_length_b 4.0907
_cell_length_c 5.5537
_cell_angle_alpha 90.00
_cell_angle_beta 90.00
_cell_angle_gamma 120.00
_space_group_name_H-M_alt 'P -6 m 2'
_space_group_IT_number 187
_space_group_name_Hall 'P -6 2'
loop_
_atom_site_label
_atom_site_type_symbol
_atom_site_fract_x
_atom_site_fract_y
_atom_site_fract_z
Sr1 Sr 0.0000 0.0000 0.0000
Te1 Te 0.6667 0.3333 0.5000
F1 F 0.3333 0.6667 0.0000
```


- Which of these has the lowest ΔE to the lowest computed polymorph?
  SrTeF